1.
Crystalline ErSc2In2 at its relaxed geometry, computed with GGA-PBE.

Unit cell a=6.3283 b=5.0973 c=15.1181 alpha=90.00 beta=90.00 gamma=90.00
With the nearest neighbours (Å) after each atom.
Fractional coordinates of all 20 atoms:
Er 0.1519 0.2500 0.0490  7 In 3.12-3.45, 1 Sc 3.44
Er 0.3481 0.7500 0.5490  7 In 3.12-3.45, 1 Sc 3.44
Er 0.6519 0.2500 0.4510  7 In 3.12-3.45, 1 Sc 3.44
Er 0.8481 0.7500 0.9510  7 In 3.12-3.45, 1 Sc 3.44
Sc 0.0379 0.7500 0.3549  5 In 2.91-3.16
Sc 0.1817 0.7500 0.7657  3 In 3.00-3.14, 2 Sc 3.20
Sc 0.3183 0.2500 0.2657  3 In 3.00-3.14, 2 Sc 3.20
Sc 0.4621 0.2500 0.8549  5 In 2.91-3.16
Sc 0.5379 0.7500 0.1451  5 In 2.91-3.16
Sc 0.6817 0.7500 0.7343  3 In 3.00-3.14, 2 Sc 3.20
Sc 0.8183 0.2500 0.2343  3 In 3.00-3.14, 2 Sc 3.20
Sc 0.9621 0.2500 0.6451  5 In 2.91-3.16
In 0.0517 0.7500 0.1626  4 Sc 2.91-3.14, 2 Er 3.14
In 0.1456 0.2500 0.4507  4 Sc 3.00-3.16, 4 Er 3.12-3.22
In 0.3544 0.7500 0.9507  4 Sc 3.00-3.16, 4 Er 3.12-3.22
In 0.4483 0.2500 0.6626  4 Sc 2.91-3.14, 2 Er 3.14
In 0.5517 0.7500 0.3374  4 Sc 2.91-3.14, 2 Er 3.14
In 0.6456 0.2500 0.0493  4 Sc 3.00-3.16, 4 Er 3.12-3.22
In 0.8544 0.7500 0.5493  4 Sc 3.00-3.16, 4 Er 3.12-3.22
In 0.9483 0.2500 0.8374  4 Sc 2.91-3.14, 2 Er 3.14

Energy relative to the lowest polymorph listed for this composition, meV/atom: 0
Energy of formation, eV per atom: -0.389
Calculated volume, Å³/cell: 487.7


2.
Crystalline Pu2Ga4AgPt3 at its relaxed geometry, computed with GGA-PBE.

Unit cell a=4.2136 b=4.2136 c=10.9351 alpha=90.00 beta=90.00 gamma=90.00
With the nearest neighbours (Å) after each atom.
Fractional coordinates of all 10 atoms:
Pu 0.0000 0.5000 0.2421  6 Pt 3.20-3.52, 8 Ga 3.26-3.38, 2 Ag 3.52
Pu 0.5000 0.0000 0.7579  6 Pt 3.20-3.52, 8 Ga 3.26-3.38, 2 Ag 3.52
Ga 0.0000 0.0000 0.0000  4 Pt 2.58
Ga 0.0000 0.5000 0.6369  3 Pt 2.49-2.58, 2 Ag 2.58
Ga 0.5000 0.0000 0.3631  3 Pt 2.49-2.58, 2 Ag 2.58
Ga 0.5000 0.5000 0.0000  4 Pt 2.58
Ag 0.0000 0.0000 0.5000  4 Ga 2.58
Pt 0.0000 0.5000 0.8646  5 Ga 2.49-2.58
Pt 0.5000 0.0000 0.1354  5 Ga 2.49-2.58
Pt 0.5000 0.5000 0.5000  4 Ga 2.58

Energy of formation, eV per atom: -0.614
Calculated volume, Å³/cell: 194.1


3.
Crystalline CsTa2Rh at its relaxed geometry, computed with GGA-PBE.

Unit cell a=4.7782 b=4.7782 c=4.7782 alpha=60.00 beta=60.00 gamma=60.00
With the nearest neighbours (Å) after each atom.
Fractional coordinates of all 4 atoms:
Cs 0.0000 0.0000 0.0000  8 Ta 2.93
Ta 0.2500 0.2500 0.2500  4 Rh 2.93, 4 Cs 2.93
Ta 0.7500 0.7500 0.7500  4 Rh 2.93, 4 Cs 2.93
Rh 0.5000 0.5000 0.5000  8 Ta 2.93

Energy relative to the lowest polymorph listed for this composition, meV/atom: 0
Energy of formation, eV per atom: 1.371
Calculated volume, Å³/cell: 77.1


4.
Crystalline Ba4Tl2CdIn at its relaxed geometry, computed with GGA-PBE.

Unit cell a=10.5048 b=10.5048 c=10.5048 alpha=33.49 beta=33.49 gamma=33.49
With the nearest neighbours (Å) after each atom.
Fractional coordinates of all 8 atoms:
Ba 0.1250 0.1250 0.1250  3 Cd 3.71, 1 In 3.71, 4 Tl 3.72-3.75
Ba 0.3753 0.3753 0.3753  4 Tl 3.69, 1 Cd 3.71, 3 In 3.71
Ba 0.6247 0.6247 0.6247  4 Tl 3.69, 1 Cd 3.71, 3 In 3.71
Ba 0.8750 0.8750 0.8750  3 Cd 3.71, 1 In 3.71, 4 Tl 3.72-3.75
Tl 0.2512 0.2512 0.2512  8 Ba 3.69-3.75
Tl 0.7488 0.7488 0.7488  8 Ba 3.69-3.75
Cd 0.5000 0.5000 0.5000  8 Ba 3.71
In 0.0000 0.0000 0.0000  8 Ba 3.71

Energy of formation, eV per atom: -0.388
Calculated volume, Å³/cell: 314.3


5.
Crystalline AgSb2 at its relaxed geometry, computed with GGA-PBE.

Unit cell a=7.4621 b=7.4621 c=7.3659 alpha=104.54 beta=104.54 gamma=24.26
With the nearest neighbours (Å) after each atom.
Fractional coordinates of all 6 atoms:
Ag 0.0325 0.0325 0.3238  4 Sb 2.91-2.93, 3 Ag 2.98-3.14
Ag 0.9675 0.9675 0.6762  4 Sb 2.91-2.93, 3 Ag 2.98-3.14
Sb 0.3294 0.3294 0.4038  2 Ag 2.91, 3 Sb 3.08-3.14
Sb 0.3976 0.3976 0.0413  2 Ag 2.93, 4 Sb 3.08-3.20
Sb 0.6024 0.6024 0.9587  2 Ag 2.93, 4 Sb 3.08-3.20
Sb 0.6706 0.6706 0.5962  2 Ag 2.91, 3 Sb 3.08-3.14

ΔE_f (raw), eV/atom: 0.155
Calculated volume, Å³/cell: 162.9


6.
Crystalline ZrSc2GaRe at its relaxed geometry, computed with GGA-PBE.

Unit cell a=5.0284 b=5.0284 c=5.0539 alpha=90.00 beta=90.00 gamma=90.00
With the nearest neighbours (Å) after each atom.
Fractional coordinates of all 5 atoms:
Zr 0.0000 0.0000 0.0000  2 Re 2.53
Sc 0.0000 0.5000 0.5000  2 Re 2.51
Sc 0.5000 0.0000 0.5000  2 Re 2.51
Ga 0.5000 0.5000 0.0000  4 Zr 3.56, 8 Sc 3.56
Re 0.0000 0.0000 0.5000  4 Sc 2.51, 2 Zr 2.53

Energy of formation, eV per atom: 0.365
Calculated volume, Å³/cell: 127.8


7.
Crystalline Cr2NiBr at its relaxed geometry, computed with GGA-PBE.

Unit cell a=3.2726 b=3.2726 c=5.8657 alpha=90.00 beta=90.00 gamma=90.00
With the nearest neighbours (Å) after each atom.
Fractional coordinates of all 4 atoms:
Cr 0.0000 0.0000 0.1655  1 Cr 1.94
Cr 0.0000 0.0000 0.8345  1 Cr 1.94
Ni 0.5000 0.5000 0.0000  8 Cr 2.51
Br 0.5000 0.5000 0.5000  2 Ni 2.93, 8 Cr 3.03, 4 Br 3.27

Energy relative to the lowest polymorph listed for this composition, meV/atom: 224
ΔE_f (raw), eV/atom: 0.589
Calculated volume, Å³/cell: 62.8


8.
Crystalline KSn3Au at its relaxed geometry, computed with GGA-PBE.

Unit cell a=5.8615 b=5.8615 c=5.8615 alpha=90.00 beta=90.00 gamma=90.00
With the nearest neighbours (Å) after each atom.
Fractional coordinates of all 5 atoms:
K 0.0000 0.0000 0.0000  6 Sn 2.93
Sn 0.0000 0.0000 0.5000  2 K 2.93
Sn 0.0000 0.5000 0.0000  2 K 2.93
Sn 0.5000 0.0000 0.0000  2 K 2.93
Au 0.5000 0.5000 0.5000  12 Sn 4.14

Energy relative to the lowest polymorph listed for this composition, meV/atom: 1595
Energy of formation, eV per atom: 1.318
Calculated volume, Å³/cell: 201.4


9.
Crystalline LaGa2BiPd at its relaxed geometry, computed with GGA-PBE.

Unit cell a=4.8957 b=4.8957 c=5.5415 alpha=90.00 beta=90.00 gamma=90.00
With the nearest neighbours (Å) after each atom.
Fractional coordinates of all 5 atoms:
La 0.0000 0.0000 0.0000  2 Pd 2.77
Ga 0.0000 0.5000 0.5000  2 Pd 2.45
Ga 0.5000 0.0000 0.5000  2 Pd 2.45
Bi 0.5000 0.5000 0.0000  4 La 3.46, 8 Ga 3.70
Pd 0.0000 0.0000 0.5000  4 Ga 2.45

Energy of formation, eV per atom: -0.527
Calculated volume, Å³/cell: 132.8


10.
Crystalline DyHo2Tm2Th at its relaxed geometry, computed with GGA-PBE.

Unit cell a=6.4757 b=6.6826 c=8.8252 alpha=90.00 beta=97.64 gamma=90.00
With the nearest neighbours (Å) after each atom.
Fractional coordinates of all 12 atoms:
Dy 0.1930 0.2500 0.1664  4 Ho 3.34-3.49, 1 Th 3.36, 6 Tm 3.50-3.69
Dy 0.8070 0.7500 0.8336  4 Ho 3.34-3.49, 1 Th 3.36, 6 Tm 3.50-3.69
Ho 0.0831 0.7500 0.5230  2 Th 3.23-3.31, 3 Ho 3.36-3.52, 2 Tm 3.44, 1 Dy 3.47
Ho 0.1790 0.7500 0.1577  3 Dy 3.34-3.49, 1 Ho 3.36, 6 Tm 3.48-3.67, 1 Th 3.48
Ho 0.8210 0.2500 0.8423  3 Dy 3.34-3.49, 1 Ho 3.36, 6 Tm 3.48-3.67, 1 Th 3.48
Ho 0.9169 0.2500 0.4770  2 Th 3.23-3.31, 3 Ho 3.36-3.52, 2 Tm 3.44, 1 Dy 3.47
Tm 0.3150 0.0025 0.8405  3 Tm 3.31-3.45, 1 Th 3.39, 4 Ho 3.44-3.67, 3 Dy 3.50-3.69
Tm 0.3150 0.4975 0.8405  3 Tm 3.31-3.45, 1 Th 3.39, 4 Ho 3.44-3.67, 3 Dy 3.50-3.69
Tm 0.6850 0.5025 0.1595  3 Tm 3.31-3.45, 1 Th 3.39, 4 Ho 3.44-3.67, 3 Dy 3.50-3.69
Tm 0.6850 0.9975 0.1595  3 Tm 3.31-3.45, 1 Th 3.39, 4 Ho 3.44-3.67, 3 Dy 3.50-3.69
Th 0.4329 0.2500 0.5283  3 Ho 3.23-3.48, 1 Dy 3.36, 2 Tm 3.39, 2 Th 3.50
Th 0.5671 0.7500 0.4717  3 Ho 3.23-3.48, 1 Dy 3.36, 2 Tm 3.39, 2 Th 3.50

Energy of formation, eV per atom: 0.171
Calculated volume, Å³/cell: 378.5


11.
Crystalline Mn2InIr at its relaxed geometry, computed with GGA-PBE.

Unit cell a=4.8137 b=4.8137 c=4.8137 alpha=131.35 beta=131.35 gamma=71.26
With the nearest neighbours (Å) after each atom.
Fractional coordinates of all 4 atoms:
Mn 0.0000 0.0000 0.0000  4 Ir 2.79, 4 Mn 2.79, 4 In 2.80
Mn 0.7500 0.2500 0.5000  4 Mn 2.79, 4 In 2.79, 4 Ir 2.80
In 0.5000 0.5000 0.0000  8 Mn 2.79-2.80, 4 Ir 2.79
Ir 0.2500 0.7500 0.5000  8 Mn 2.79-2.80, 4 In 2.79

Energy of formation, eV per atom: -0.077
Calculated volume, Å³/cell: 61.5


12.
Crystalline Li4Y3ScSe8 at its relaxed geometry, computed with GGA-PBE.

Unit cell a=7.9755 b=7.9755 c=7.9755 alpha=60.58 beta=60.58 gamma=60.58
With the nearest neighbours (Å) after each atom.
Fractional coordinates of all 16 atoms:
Li 0.0000 0.0000 0.0000  6 Se 2.90
Li 0.0000 0.5000 0.5000  6 Se 2.80-2.81
Li 0.5000 0.0000 0.5000  6 Se 2.80-2.81
Li 0.5000 0.5000 0.0000  6 Se 2.80-2.81
Y 0.0000 0.0000 0.5000  6 Se 2.85-2.86
Y 0.0000 0.5000 0.0000  6 Se 2.85-2.86
Y 0.5000 0.0000 0.0000  6 Se 2.85-2.86
Sc 0.5000 0.5000 0.5000  6 Se 2.77
Se 0.2520 0.2520 0.2520  3 Li 2.81, 3 Y 2.85
Se 0.2559 0.2559 0.7391  1 Sc 2.77, 3 Li 2.80-2.90, 2 Y 2.86
Se 0.2559 0.7391 0.2559  1 Sc 2.77, 3 Li 2.80-2.90, 2 Y 2.86
Se 0.2609 0.7441 0.7441  1 Sc 2.77, 3 Li 2.80-2.90, 2 Y 2.86
Se 0.7391 0.2559 0.2559  1 Sc 2.77, 3 Li 2.80-2.90, 2 Y 2.86
Se 0.7441 0.2609 0.7441  1 Sc 2.77, 3 Li 2.80-2.90, 2 Y 2.86
Se 0.7441 0.7441 0.2609  1 Sc 2.77, 3 Li 2.80-2.90, 2 Y 2.86
Se 0.7480 0.7480 0.7480  3 Li 2.81, 3 Y 2.85

ΔE_f (raw), eV/atom: -1.671
Calculated volume, Å³/cell: 363.5


13.
Crystalline CrTc2HRh at its relaxed geometry, computed with GGA-PBE.

Unit cell a=3.8735 b=3.8735 c=3.8594 alpha=90.00 beta=90.00 gamma=90.00
With the nearest neighbours (Å) after each atom.
Fractional coordinates of all 5 atoms:
Cr 0.0000 0.0000 0.0000  8 Tc 2.73, 4 Rh 2.74
Tc 0.0000 0.5000 0.5000  2 H 1.94
Tc 0.5000 0.0000 0.5000  2 H 1.94
H 0.5000 0.5000 0.5000  2 Rh 1.93, 4 Tc 1.94
Rh 0.5000 0.5000 0.0000  2 H 1.93

Energy relative to the lowest polymorph listed for this composition, meV/atom: 33
Calculated volume, Å³/cell: 57.9


14.
Crystalline La2AsO5 at its relaxed geometry, computed with GGA-PBE.

Unit cell a=9.4325 b=7.7986 c=7.0940 alpha=90.00 beta=106.32 gamma=90.00
With the nearest neighbours (Å) after each atom.
Fractional coordinates of all 32 atoms:
La 0.0174 0.1229 0.2370  6 O 2.41-2.62
La 0.0174 0.3771 0.7370  6 O 2.41-2.62
La 0.3721 0.1431 0.0682  4 O 2.39-2.48
La 0.3721 0.3569 0.5682  4 O 2.39-2.48
La 0.6279 0.6431 0.4318  4 O 2.39-2.48
La 0.6279 0.8569 0.9318  4 O 2.39-2.48
La 0.9826 0.6229 0.2630  6 O 2.41-2.62
La 0.9826 0.8771 0.7630  6 O 2.41-2.62
As 0.3137 0.6032 0.0234  3 O 1.76-1.81
As 0.3137 0.8968 0.5234  3 O 1.76-1.81
As 0.6863 0.1032 0.4766  3 O 1.76-1.81
As 0.6863 0.3968 0.9766  3 O 1.76-1.81
O 0.1054 0.1203 0.9480  4 La 2.41-2.50
O 0.1054 0.3797 0.4480  4 La 2.41-2.50
O 0.1169 0.6362 0.9728  1 As 1.81
O 0.1169 0.8638 0.4728  1 As 1.81
O 0.2864 0.1127 0.3530  1 As 2.05
O 0.2864 0.3873 0.8530  1 As 2.05
O 0.3568 0.0174 0.7420  1 As 1.76
O 0.3568 0.4826 0.2420  1 As 1.76
O 0.4047 0.6966 0.6151  1 As 1.81
O 0.4047 0.8034 0.1151  1 As 1.81
O 0.5953 0.1966 0.8849  1 As 1.81
O 0.5953 0.3034 0.3849  1 As 1.81
O 0.6432 0.5174 0.7580  1 As 1.76
O 0.6432 0.9826 0.2580  1 As 1.76
O 0.7136 0.6127 0.1470  1 As 2.05
O 0.7136 0.8873 0.6470  1 As 2.05
O 0.8831 0.1362 0.5272  1 As 1.81
O 0.8831 0.3638 0.0272  1 As 1.81
O 0.8946 0.6203 0.5520  4 La 2.41-2.50
O 0.8946 0.8797 0.0520  4 La 2.41-2.50

Energy relative to the lowest polymorph listed for this composition, meV/atom: 0
ΔE_f (raw), eV/atom: -2.605
Calculated volume, Å³/cell: 500.8


15.
Crystalline BeCuTc2Sn at its relaxed geometry, computed with GGA-PBE.

Unit cell a=4.2758 b=4.2758 c=4.0128 alpha=90.00 beta=90.00 gamma=90.00
With the nearest neighbours (Å) after each atom.
Fractional coordinates of all 5 atoms:
Be 0.0000 0.0000 0.0000  2 Cu 2.01, 4 Tc 2.14
Cu 0.0000 0.0000 0.5000  2 Be 2.01
Tc 0.0000 0.5000 0.0000  2 Be 2.14
Tc 0.5000 0.0000 0.0000  2 Be 2.14
Sn 0.5000 0.5000 0.5000  8 Tc 2.93, 4 Cu 3.02

Energy of formation, eV per atom: 0.448
Calculated volume, Å³/cell: 73.4


16.
Crystalline Al4Cd3 at its relaxed geometry, computed with GGA-PBE.

Unit cell a=5.5524 b=5.5524 c=5.5121 alpha=90.00 beta=90.00 gamma=120.00
With the nearest neighbours (Å) after each atom.
Fractional coordinates of all 7 atoms:
Al 0.0000 0.0000 0.2386  2 Al 2.63-2.88
Al 0.0000 0.0000 0.7614  2 Al 2.63-2.88
Al 0.3333 0.6667 0.0000  6 Cd 3.19, 9 Al 3.21-3.46
Al 0.6667 0.3333 0.0000  6 Cd 3.19, 9 Al 3.21-3.46
Cd 0.0000 0.5000 0.5000  4 Cd 2.78
Cd 0.5000 0.0000 0.5000  4 Cd 2.78
Cd 0.5000 0.5000 0.5000  4 Cd 2.78

Energy relative to the lowest polymorph listed for this composition, meV/atom: 203
Energy of formation, eV per atom: 0.296
Calculated volume, Å³/cell: 147.2


17.
Crystalline KAl3Au at its relaxed geometry, computed with GGA-PBE.

Unit cell a=5.0721 b=5.0721 c=5.0721 alpha=90.00 beta=90.00 gamma=90.00
With the nearest neighbours (Å) after each atom.
Fractional coordinates of all 5 atoms:
K 0.0000 0.0000 0.0000  12 Al 3.59
Al 0.0000 0.5000 0.5000  2 Au 2.54
Al 0.5000 0.0000 0.5000  2 Au 2.54
Al 0.5000 0.5000 0.0000  2 Au 2.54
Au 0.5000 0.5000 0.5000  6 Al 2.54

Energy relative to the lowest polymorph listed for this composition, meV/atom: 0
Energy of formation, eV per atom: 0.224
Calculated volume, Å³/cell: 130.5


18.
Crystalline Dy3TmPu2Te6 at its relaxed geometry, computed with GGA-PBE.

Unit cell a=9.7829 b=9.7829 c=8.7780 alpha=103.34 beta=103.34 gamma=25.68
With the nearest neighbours (Å) after each atom.
Fractional coordinates of all 12 atoms:
Dy 0.0000 0.0000 0.0000  6 Te 3.07-3.11
Dy 0.3306 0.3306 0.6657  6 Te 3.07-3.09
Dy 0.6694 0.6694 0.3343  6 Te 3.07-3.09
Tm 0.0000 0.0000 0.5000  6 Te 3.04-3.07
Pu 0.3340 0.3340 0.1671  6 Te 3.11-3.13
Pu 0.6660 0.6660 0.8329  6 Te 3.11-3.13
Te 0.1642 0.1642 0.5782  1 Tm 3.04, 3 Dy 3.07-3.08, 2 Pu 3.11
Te 0.1657 0.1657 0.0857  3 Dy 3.07, 3 Pu 3.11-3.12
Te 0.4972 0.4972 0.7455  2 Tm 3.07, 3 Dy 3.09-3.11, 1 Pu 3.13
Te 0.5028 0.5028 0.2545  2 Tm 3.07, 3 Dy 3.09-3.11, 1 Pu 3.13
Te 0.8343 0.8343 0.9143  3 Dy 3.07, 3 Pu 3.11-3.12
Te 0.8358 0.8358 0.4218  1 Tm 3.04, 3 Dy 3.07-3.08, 2 Pu 3.11

ΔE_f (raw), eV/atom: -1.222
Calculated volume, Å³/cell: 353.7


19.
Crystalline Tc2AgOs at its relaxed geometry, computed with GGA-PBE.

Unit cell a=4.8657 b=4.8657 c=4.8657 alpha=133.23 beta=133.23 gamma=68.29
With the nearest neighbours (Å) after each atom.
Fractional coordinates of all 4 atoms:
Tc 0.2500 0.7500 0.5000  4 Tc 2.73, 4 Os 2.79, 4 Ag 2.79
Tc 0.7500 0.2500 0.5000  4 Tc 2.73, 4 Os 2.79, 4 Ag 2.79
Ag 0.0000 0.0000 0.0000  4 Os 2.73, 8 Tc 2.79
Os 0.5000 0.5000 0.0000  4 Ag 2.73, 8 Tc 2.79

Energy relative to the lowest polymorph listed for this composition, meV/atom: 293
Energy of formation, eV per atom: 0.557
Calculated volume, Å³/cell: 60.1


20.
Crystalline Ho8Ge3Te4Rh at its relaxed geometry, computed with GGA-PBE.

Unit cell a=8.5826 b=8.5826 c=8.5826 alpha=58.58 beta=58.58 gamma=58.58
With the nearest neighbours (Å) after each atom.
Fractional coordinates of all 16 atoms:
Ho 0.2406 0.2406 0.2406  3 Ge 2.89, 3 Te 3.12
Ho 0.2418 0.7362 0.7362  1 Rh 2.84, 2 Ge 2.87, 2 Te 3.15
Ho 0.2638 0.2638 0.7582  1 Rh 2.84, 2 Ge 2.87, 2 Te 3.15
Ho 0.2638 0.7582 0.2638  1 Rh 2.84, 2 Ge 2.87, 2 Te 3.15
Ho 0.7362 0.2418 0.7362  1 Rh 2.84, 2 Ge 2.87, 2 Te 3.15
Ho 0.7362 0.7362 0.2418  1 Rh 2.84, 2 Ge 2.87, 2 Te 3.15
Ho 0.7582 0.2638 0.2638  1 Rh 2.84, 2 Ge 2.87, 2 Te 3.15
Ho 0.7594 0.7594 0.7594  3 Ge 2.89, 3 Te 3.12
Ge 0.0000 0.0000 0.5000  6 Ho 2.87-2.89
Ge 0.0000 0.5000 0.0000  6 Ho 2.87-2.89
Ge 0.5000 0.0000 0.0000  6 Ho 2.87-2.89
Te 0.0000 0.0000 0.0000  6 Ho 3.18
Te 0.0000 0.5000 0.5000  6 Ho 3.12-3.15
Te 0.5000 0.0000 0.5000  6 Ho 3.12-3.15
Te 0.5000 0.5000 0.0000  6 Ho 3.12-3.15
Rh 0.5000 0.5000 0.5000  6 Ho 2.84

ΔE_f (raw), eV/atom: -1.117
Calculated volume, Å³/cell: 432.5